Compound: Eu2GeBi
Source: the Alexandria database
Functional: PBE
Structure: relaxed

Values from the calculation:
- D(E_F) (states/eV per cell) = 7.30
- mass density (g/cm3) = 7.30
- spin magnetization (μB per atom) = 3.611
- total DFT energy (no corrections) (eV per atom) = -7.50
- relative energy among the computed polymorphs (meV/atom) = 413
- E_form (kJ per mole of atoms) = -23.1

Cell and atoms, written as POSCAR:
```
Eu2GeBi
1.0
-3.168 -2.014 -0.126
-0.509 -2.531 -2.728
3.395 -9.174 5.293
Bi Ge Eu
1 1 2
Direct
0.000 0.000 0.000
0.500 0.500 0.500
0.899 0.899 0.302
0.101 0.101 0.698
```